## In2NiHg (PBE)

Data for a relaxed In2NiHg crystal.

Calculated values
Electronic total energy, eV/atom: -2.67
E_form, eV/f.u.: 0.88

a b c (Å): 5.3693 5.3693 5.3693
angles (deg): 133.08 133.08 68.53
Sites, in units of the cell vectors:
Ni1 0.5000 0.5000 0.0000
Hg1 0.7500 0.2500 0.5000
In1 0.0000 0.0000 0.0000
In2 0.2500 0.7500 0.5000